Entry 1:
DFT (PBE) results for Tl2CdHgH after structural relaxation. Values from VASP.

Results
M_tot, μB/cell: 0.00
Relative energy among the computed polymorphs, eV/f.u.: 0.33
Symmetry: P4/mmm

```
&SYSTEM
  ibrav = 0, nat = 5, ntyp = 4
/
ATOMIC_SPECIES
Tl 204.38 Tl.upf
Cd 112.41 Cd.upf
Hg 200.59 Hg.upf
H 1.01 H.upf
ATOMIC_POSITIONS angstrom
Tl 0.000 2.423 0.000
Tl 2.423 0.000 0.000
Cd 0.000 0.000 2.556
Hg 2.423 2.423 2.556
H 2.423 2.423 0.000
CELL_PARAMETERS angstrom
4.846 0.000 0.000
0.000 4.846 0.000
0.000 0.000 5.111
```


Entry 2:
DFT (PBE) results for Sr2MoRu after structural relaxation. Values from VASP.

Results
Energy of formation from the pure elements, eV/f.u.: 4.6
M_tot, μB/cell: 3.91
Relative energy among the computed polymorphs, eV/f.u.: 3.53
Symmetry: Fm-3m

```
&SYSTEM
  ibrav = 0, nat = 4, ntyp = 3
/
ATOMIC_SPECIES
Sr 87.62 Sr.upf
Mo 95.94 Mo.upf
Ru 101.07 Ru.upf
ATOMIC_POSITIONS angstrom
Sr 1.862 1.862 1.862
Sr 5.585 5.585 5.585
Mo 0.000 0.000 0.000
Ru 3.724 3.724 3.724
CELL_PARAMETERS angstrom
0.000 3.724 3.724
3.724 0.000 3.724
3.724 3.724 0.000
```